## HfInSe2Cl (PBE-GGA)

Data for crystalline HfInSe2Cl at its relaxed geometry.

Cell lengths 5.237, 5.237, 5.030 Å; angles 90.00, 90.00, 90.00 degrees
Space group P4/mmm (No. 123)
Inequivalent atoms, fractional coordinates:
Hf 0.000 0.000 0.000 [1 per cell]
In 0.500 0.500 0.500 [1 per cell]
Se 0.000 0.500 0.000 [2 per cell]
Cl 0.000 0.000 0.500 [1 per cell]

## Properties
DOS(E_F) = 0.259 states/eV/cell
size of the total moment = 0.00 μB/atom
E_form (uncorrected) = -0.9578 eV per atom
crystal system = tetragonal